Record 1
## SnGe2Pb2 (GGA-PBE)

Data for an optimized crystal structure of SnGe2Pb2.

Values from the calculation:
Its total magnetization is 0.000 μB per cell. The density of states at the Fermi level is 3.18 states/eV/f.u. The formation energy is 0.291 eV/atom.

Lattice parameters (Å, degrees): 8.942 8.942 3.380 90.00 90.00 90.00
Atoms (fractional coordinates):
Pb 0.356 0.856 0.000
Pb 0.856 0.644 0.000
Pb 0.644 0.144 0.000
Pb 0.144 0.356 0.000
Ge 0.153 0.653 0.500
Ge 0.653 0.847 0.500
Ge 0.847 0.347 0.500
Ge 0.347 0.153 0.500
Sn 0.000 0.000 0.000
Sn 0.500 0.500 0.000

---

Record 2
## KSeBr (GGA-PBE)

Data for an optimized crystal structure of KSeBr.

Values from the calculation:
Its total magnetization is 0.000 μB per cell. The density of states at the Fermi level is 1.54 states/eV/f.u. The value obtained for the formation energy (no corrections) is -0.919 eV/atom.

Lattice parameters (Å, degrees): 6.314 6.173 6.670 86.91 90.00 120.76
Atoms (fractional coordinates):
Br 0.816 0.632 0.732
Br 0.184 0.368 0.268
Se 0.452 0.905 0.157
Se 0.548 0.095 0.843
K 0.829 0.659 0.234
K 0.171 0.341 0.766

---

Record 3
## MgTl (GGA-PBE)

Data for an optimized crystal structure of MgTl.

Values from the calculation:
Its total magnetization is 0.000 μB per cell. The density of states at the Fermi level is 0.20 states/eV/f.u. The formation energy is 0.402 eV/atom.

Lattice parameters (Å, degrees): 8.884 8.884 8.884 90.00 90.00 90.00
Atoms (fractional coordinates):
Mg 0.189 0.189 0.189
Mg 0.189 0.811 0.811
Mg 0.811 0.189 0.811
Mg 0.811 0.811 0.189
Mg 0.689 0.689 0.689
Mg 0.689 0.311 0.311
Mg 0.311 0.689 0.311
Mg 0.311 0.311 0.689
Tl 0.369 0.369 0.369
Tl 0.369 0.631 0.631
Tl 0.631 0.369 0.631
Tl 0.631 0.631 0.369
Tl 0.869 0.869 0.869
Tl 0.869 0.131 0.131
Tl 0.131 0.869 0.131
Tl 0.131 0.131 0.869

---

Record 4
## Pm4Tl3Pd (GGA-PBE)

Data for an optimized crystal structure of Pm4Tl3Pd.

Values from the calculation:
Its total magnetization is 0.001 μB per cell. The density of states at the Fermi level is 7.88 states/eV/f.u. The formation energy is -0.430 eV/atom.

Lattice parameters (Å, degrees): 3.959 4.914 11.880 90.00 90.00 90.00
Atoms (fractional coordinates):
Pm 0.500 0.500 0.334
Pm 0.000 0.500 0.879
Pm 0.000 0.000 0.139
Pm 0.500 0.000 0.649
Tl 0.000 0.500 0.588
Tl 0.000 0.000 0.412
Tl 0.500 0.000 0.919
Pd 0.500 0.500 0.080

---

Record 5
## Li2InW (GGA-PBE)

Data for an optimized crystal structure of Li2InW.

Values from the calculation:
Its total magnetization is 0.000 μB per cell. The density of states at the Fermi level is 2.45 states/eV/f.u. The formation energy is 0.447 eV/atom.

Lattice parameters (Å, degrees): 5.411 5.411 2.682 90.00 90.00 117.79
Atoms (fractional coordinates):
In 0.000 0.500 0.500
Li 0.000 0.000 0.000
Li 0.500 0.500 0.000
W 0.500 0.000 0.500

---

Record 6
## Ba8HRh2 (GGA-PBE)

Data for an optimized crystal structure of Ba8HRh2.

Values from the calculation:
Its total magnetization is 0.000 μB per cell. The density of states at the Fermi level is 7.73 states/eV/f.u. The calculation puts the total energy at -3.22 eV/atom.

Lattice parameters (Å, degrees): 7.564 8.697 8.697 63.70 92.00 92.00
Atoms (fractional coordinates):
Ba 0.171 0.103 0.630
Ba 0.171 0.630 0.103
Ba 0.829 0.897 0.370
Ba 0.310 0.622 0.622
Ba 0.829 0.370 0.897
Ba 0.287 0.124 0.124
Ba 0.713 0.876 0.876
Ba 0.690 0.378 0.378
H 0.000 0.000 0.000
Rh 0.999 0.262 0.262
Rh 0.001 0.738 0.738

---

Record 7
## LaTcF2 (GGA-PBE)

Data for an optimized crystal structure of LaTcF2.

Values from the calculation:
Its total magnetization is 4.491 μB per cell. The density of states at the Fermi level is 1.66 states/eV/f.u. The value obtained for the formation energy (no corrections) is -1.433 eV/atom.

Lattice parameters (Å, degrees): 4.270 4.270 8.432 75.33 75.33 90.00
Atoms (fractional coordinates):
F 0.607 0.125 0.250
F 0.143 0.625 0.250
F 0.375 0.393 0.750
F 0.875 0.857 0.750
Tc 0.500 0.500 0.000
Tc 0.250 0.750 0.500
La 0.000 0.000 0.000
La 0.750 0.250 0.500

---

Record 8
## LaTeAs2 (GGA-PBE)

Data for an optimized crystal structure of LaTeAs2.

Values from the calculation:
Its total magnetization is 0.000 μB per cell. The density of states at the Fermi level is 4.61 states/eV/f.u. The value obtained for the formation energy (no corrections) is -0.363 eV/atom.

Lattice parameters (Å, degrees): 5.274 5.274 5.274 60.00 60.00 60.00
Atoms (fractional coordinates):
As 0.000 0.000 0.000
As 0.250 0.250 0.250
Te 0.750 0.750 0.750
La 0.500 0.500 0.500

---

Record 9
## CaCo4Rh (GGA-PBE)

Data for an optimized crystal structure of CaCo4Rh.

Values from the calculation:
Its total magnetization is 7.610 μB per cell. The density of states at the Fermi level is 7.79 states/eV/f.u. The formation energy is 0.105 eV/atom.

Lattice parameters (Å, degrees): 4.901 4.901 4.901 60.00 60.00 60.00
Atoms (fractional coordinates):
Ca 0.000 0.000 0.000
Co 0.875 0.375 0.375
Co 0.375 0.375 0.375
Co 0.375 0.375 0.875
Co 0.375 0.875 0.375
Rh 0.750 0.750 0.750

---

Record 10
## GdDyAlCd (GGA-PBE)

Data for an optimized crystal structure of GdDyAlCd.

Values from the calculation:
Its total magnetization is 7.553 μB per cell. The density of states at the Fermi level is 3.44 states/eV/f.u. The formation energy is -0.354 eV/atom.

Lattice parameters (Å, degrees): 5.231 5.231 5.231 60.00 60.00 60.00
Atoms (fractional coordinates):
Cd 0.750 0.750 0.750
Gd 0.000 0.000 0.000
Al 0.250 0.250 0.250
Dy 0.500 0.500 0.500

---

Record 11
## CrSb2ICl (GGA-PBE)

Data for an optimized crystal structure of CrSb2ICl.

Values from the calculation:
Its total magnetization is 3.380 μB per cell. The density of states at the Fermi level is 4.56 states/eV/f.u. The value obtained for the formation energy (no corrections) is 0.918 eV/atom.

Lattice parameters (Å, degrees): 5.144 5.144 6.714 90.00 90.00 90.00
Atoms (fractional coordinates):
I 0.000 0.000 0.500
Sb 0.000 0.500 0.000
Sb 0.500 0.000 0.000
Cl 0.000 0.000 0.000
Cr 0.500 0.500 0.500

---

Record 12
## La2Nd2Ga4Cu (GGA-PBE)

Data for an optimized crystal structure of La2Nd2Ga4Cu.

Values from the calculation:
Its total magnetization is 0.000 μB per cell. The density of states at the Fermi level is 8.45 states/eV/f.u. The formation energy is -0.384 eV/atom.

Lattice parameters (Å, degrees): 6.718 6.718 6.718 97.68 115.67 115.67
Atoms (fractional coordinates):
La 0.500 0.750 0.250
La 0.500 0.250 0.750
Nd 0.000 0.685 0.685
Nd 0.000 0.315 0.315
Ga 0.000 0.765 0.235
Ga 0.530 0.765 0.765
Ga 0.000 0.235 0.765
Ga 0.470 0.235 0.235
Cu 0.000 0.000 0.000